[1]
CuRe2Au: relaxed, GGA-PBE.

Computed properties:
SG   No. 71
ρ   17.16 g/cm3
Spin magnetization   0.000 μB per atom
ΔH_f (0 K)   0.4587 eV/atom

Lattice parameters (Å, degrees): 5.6343 5.6343 5.6343 151.49 133.80 55.19
With the nearest neighbours (Å) after each atom.
Fractional coordinates of all 4 atoms:
Au  0.7500  0.2500  0.5000  4 Cu 2.61, 2 Au 2.77
Re  0.0320  0.0320  0.0000  2 Cu 2.58, 6 Re 2.69-2.77
Cu  0.2500  0.7500  0.5000  4 Re 2.58, 4 Au 2.61, 2 Cu 2.77
Re  0.4680  0.4680  0.0000  2 Cu 2.58, 6 Re 2.69-2.77

=====

[2]
Tb5SnBi4: relaxed, GGA-PBE.

Computed properties:
SG   No. 87
ρ   9.16 g/cm3
Spin magnetization   0.000 μB per atom
ΔH_f (0 K)   -0.8085 eV/atom

Lattice parameters (Å, degrees): 6.3301 7.7535 7.7535 80.41 65.91 65.91
With the nearest neighbours (Å) after each atom.
Fractional coordinates of all 10 atoms:
Tb  0.2971  0.8037  0.6043  1 Sn 3.13, 5 Bi 3.17-3.18
Bi  0.5990  0.6010  0.2032  6 Tb 3.17-3.18
Tb  0.7051  0.1963  0.3957  1 Sn 3.13, 5 Bi 3.17-3.18
Bi  0.8022  0.7968  0.6010  6 Tb 3.17-3.18
Tb  0.5008  0.0000  0.0000  2 Sn 3.16-3.17, 4 Bi 3.17
Tb  0.9014  0.3957  0.8037  1 Sn 3.13, 5 Bi 3.17-3.18
Bi  0.2000  0.2032  0.3990  6 Tb 3.17-3.18
Tb  0.1008  0.6043  0.1963  1 Sn 3.13, 5 Bi 3.17-3.18
Bi  0.4032  0.3990  0.7968  6 Tb 3.17-3.18
Sn  0.0008  0.0000  0.0000  6 Tb 3.13-3.17